Entry from Alexandria via LeMat-Bulk: a relaxed structure of CdRe2Sb (PBE-GGA).

Properties
Offset from the most stable computed form ... 699 meV/atom
DOS(E_F) ... 3.86 states/eV per cell
Calculated volume ... 72 Å³/cell
Raw formation energy ... 0.96 eV per atom

Geometry as CIF:
```
data_CdRe2Sb
_space_group_name_H-M_alt 'P m m m'
_space_group_IT_number 47
_space_group_name_Hall '-P 2 2'
_cell_length_a 3.1268
_cell_length_b 4.6541
_cell_length_c 4.9382
_cell_angle_alpha 90.00
_cell_angle_beta 90.00
_cell_angle_gamma 90.00
loop_
_atom_site_label
_atom_site_type_symbol
_atom_site_fract_x
_atom_site_fract_y
_atom_site_fract_z
_atom_site_occupancy
Cd1 Cd 0.0000 0.0000 0.0000 1
Re1 Re 0.0000 0.5000 0.5000 1
Re2 Re 0.5000 0.5000 0.0000 1
Sb1 Sb 0.5000 0.0000 0.5000 1
```